Run P
{
  "formula": "Sr2NiC2",
  "functional": "PBE",
  "state": "optimized geometry",
  "m_tot_mub_per_fu": 0.00,
  "sg": "I4/mmm (139)",
  "dos_at_fermi_per_ev_fu": 0.0,
  "lattice": [[5.115, 0.000, 0.000], [0.000, 5.115, 0.000], [0.000, 0.000, 7.819]],
  "species": ["Sr", "Sr", "Sr", "Sr", "Ni", "Ni", "C", "C", "C", "C"],
  "frac_coords": [[0.000, 0.500, 0.250], [0.000, 0.500, 0.750], [0.500, 0.000, 0.250], [0.500, 0.000, 0.750], [0.000, 0.000, 0.000], [0.500, 0.500, 0.500], [0.000, 0.000, 0.419], [0.000, 0.000, 0.581], [0.500, 0.500, 0.081], [0.500, 0.500, 0.919]]
}


Run Q
{
  "formula": "Sr2NiC2",
  "functional": "PBE",
  "state": "optimized geometry",
  "m_tot_mub_per_fu": 0.00,
  "sg": "I4/mmm (139)",
  "dos_at_fermi_per_ev_fu": 4.0,
  "lattice": [[3.297, 0.000, 0.000], [0.000, 3.297, 0.000], [0.000, 0.000, 16.757]],
  "species": ["Sr", "Sr", "Sr", "Sr", "Ni", "Ni", "C", "C", "C", "C"],
  "frac_coords": [[0.000, 0.000, 0.123], [0.000, 0.000, 0.877], [0.500, 0.500, 0.377], [0.500, 0.500, 0.623], [0.000, 0.000, 0.500], [0.500, 0.500, 0.000], [0.000, 0.500, 0.250], [0.000, 0.500, 0.750], [0.500, 0.000, 0.250], [0.500, 0.000, 0.750]]
}


Most stable one: run P, least stable one: run Q.


Run P
{
  "formula": "Ta3NiC",
  "functional": "PBE",
  "state": "optimized geometry",
  "m_tot_mub_per_fu": 0.00,
  "sg": "Cmcm (63)",
  "dos_at_fermi_per_ev_fu": 3.8,
  "lattice": [[1.601, -5.266, 0.000], [1.601, 5.266, 0.000], [0.000, 0.000, 8.429]],
  "species": ["Ta", "Ta", "Ta", "Ta", "Ta", "Ta", "Ni", "Ni", "C", "C"],
  "frac_coords": [[0.057, 0.943, 0.750], [0.367, 0.633, 0.555], [0.367, 0.633, 0.945], [0.633, 0.367, 0.055], [0.633, 0.367, 0.445], [0.943, 0.057, 0.250], [0.254, 0.746, 0.250], [0.746, 0.254, 0.750], [0.000, 0.000, 0.000], [0.000, 0.000, 0.500]]
}


Run Q
{
  "formula": "Ta3NiC",
  "functional": "PBE",
  "state": "optimized geometry",
  "m_tot_mub_per_fu": 0.00,
  "sg": "Pm-3m (221)",
  "dos_at_fermi_per_ev_fu": 7.5,
  "lattice": [[4.228, 0.000, 0.000], [0.000, 4.228, 0.000], [0.000, 0.000, 4.228]],
  "species": ["Ta", "Ta", "Ta", "Ni", "C"],
  "frac_coords": [[0.000, 0.000, 0.500], [0.000, 0.500, 0.000], [0.500, 0.000, 0.000], [0.500, 0.500, 0.500], [0.000, 0.000, 0.000]]
}


Most stable one: run P, least stable one: run Q.